i | # SrTaNb (PBE, optimized geometry)
# * crystal system: cubic
data_SrTaNb
_cell_length_a 6.805
_cell_length_b 6.805
_cell_length_c 6.805
_cell_angle_alpha 90.00
_cell_angle_beta 90.00
_cell_angle_gamma 90.00
_space_group_name_H-M_alt 'F -4 3 m'
_space_group_IT_number 216
_space_group_name_Hall 'F -4 2 3'
loop_
_atom_site_label
_atom_site_type_symbol
_atom_site_fract_x
_atom_site_fract_y
_atom_site_fract_z
Sr1 Sr 0.000 0.000 0.000
Ta1 Ta 0.000 0.000 0.500
Nb1 Nb 0.250 0.250 0.250

---

ii | # SrTaNb (PBE, optimized geometry)
# * crystal system: cubic
data_SrTaNb
_cell_length_a 6.810
_cell_length_b 6.810
_cell_length_c 6.810
_cell_angle_alpha 90.00
_cell_angle_beta 90.00
_cell_angle_gamma 90.00
_space_group_name_H-M_alt 'F -4 3 m'
_space_group_IT_number 216
_space_group_name_Hall 'F -4 2 3'
loop_
_atom_site_label
_atom_site_type_symbol
_atom_site_fract_x
_atom_site_fract_y
_atom_site_fract_z
Sr1 Sr 0.000 0.000 0.000
Ta1 Ta 0.250 0.250 0.250
Nb1 Nb 0.250 0.250 0.750

---

Which structure is the least stable? The one labeled ii.

---

i | # TaNbTe4 (PBE, optimized geometry)
# * crystal system: orthorhombic
data_TaNbTe4
_cell_length_a 24.982
_cell_length_b 3.700
_cell_length_c 6.400
_cell_angle_alpha 90.00
_cell_angle_beta 90.00
_cell_angle_gamma 90.00
_space_group_name_H-M_alt 'A m m 2'
_space_group_IT_number 38
loop_
_space_group_symop_operation_xyz
'x,y,z'
'-x,-y,z'
'-x,y,z'
'x,-y,z'
'x,y+1/2,z+1/2'
'-x,-y+1/2,z+1/2'
'-x,y+1/2,z+1/2'
'x,-y+1/2,z+1/2'
loop_
_atom_site_label
_atom_site_type_symbol
_atom_site_fract_x
_atom_site_fract_y
_atom_site_fract_z
Ta1 Ta 0.000 0.000 0.000
Nb1 Nb 0.500 0.000 0.500
Te1 Te 0.073 0.000 0.334
Te2 Te 0.426 0.000 0.834

---

ii | # TaNbTe4 (PBE, optimized geometry)
# * crystal system: hexagonal
data_TaNbTe4
_cell_length_a 3.6893
_cell_length_b 3.6893
_cell_length_c 14.3721
_cell_angle_alpha 90.00
_cell_angle_beta 90.00
_cell_angle_gamma 120.00
_space_group_name_H-M_alt 'P -6 m 2'
_space_group_IT_number 187
_space_group_name_Hall 'P -6 2'
loop_
_atom_site_label
_atom_site_type_symbol
_atom_site_fract_x
_atom_site_fract_y
_atom_site_fract_z
Ta1 Ta 0.0000 0.0000 0.0000
Nb1 Nb 0.6667 0.3333 0.5000
Te1 Te 0.0000 0.0000 0.3716
Te2 Te 0.6667 0.3333 0.1279

---

Which structure is the least stable? The one labeled i.

---

i | # UTaNb (PBE, optimized geometry)
# * crystal system: cubic
data_UTaNb
_cell_length_a 6.400
_cell_length_b 6.400
_cell_length_c 6.400
_cell_angle_alpha 90.00
_cell_angle_beta 90.00
_cell_angle_gamma 90.00
_space_group_name_H-M_alt 'F -4 3 m'
_space_group_IT_number 216
_space_group_name_Hall 'F -4 2 3'
loop_
_atom_site_label
_atom_site_type_symbol
_atom_site_fract_x
_atom_site_fract_y
_atom_site_fract_z
U1 U 0.000 0.000 0.000
Ta1 Ta 0.250 0.250 0.750
Nb1 Nb 0.250 0.250 0.250

---

ii | # UTaNb (PBE, optimized geometry)
# * crystal system: cubic
data_UTaNb
_cell_length_a 6.456
_cell_length_b 6.456
_cell_length_c 6.456
_cell_angle_alpha 90.00
_cell_angle_beta 90.00
_cell_angle_gamma 90.00
_space_group_name_H-M_alt 'F -4 3 m'
_space_group_IT_number 216
_space_group_name_Hall 'F -4 2 3'
loop_
_atom_site_label
_atom_site_type_symbol
_atom_site_fract_x
_atom_site_fract_y
_atom_site_fract_z
U1 U 0.000 0.000 0.000
Ta1 Ta 0.000 0.000 0.500
Nb1 Nb 0.250 0.250 0.750

---

Which structure is the least stable? The one labeled i.

---

i | # TaNbW (PBE, optimized geometry)
# * crystal system: cubic
data_TaNbW
_cell_length_a 6.283
_cell_length_b 6.283
_cell_length_c 6.283
_cell_angle_alpha 90.00
_cell_angle_beta 90.00
_cell_angle_gamma 90.00
_space_group_name_H-M_alt 'F -4 3 m'
_space_group_IT_number 216
_space_group_name_Hall 'F -4 2 3'
loop_
_atom_site_label
_atom_site_type_symbol
_atom_site_fract_x
_atom_site_fract_y
_atom_site_fract_z
Ta1 Ta 0.000 0.000 0.000
Nb1 Nb 0.000 0.000 0.500
W1 W 0.250 0.250 0.750

---

ii | # TaNbW (PBE, optimized geometry)
# * crystal system: orthorhombic
data_TaNbW
_cell_length_a 5.544
_cell_length_b 4.675
_cell_length_c 8.193
_cell_angle_alpha 90.00
_cell_angle_beta 90.00
_cell_angle_gamma 90.00
_space_group_name_H-M_alt 'P n m a'
_space_group_IT_number 62
loop_
_space_group_symop_operation_xyz
'x,y,z'
'-x,-y,-z'
'-x+1/2,-y,z+1/2'
'x+1/2,y,-z+1/2'
'x+1/2,-y+1/2,-z+1/2'
'-x+1/2,y+1/2,z+1/2'
'-x,y+1/2,-z'
'x,-y+1/2,z'
loop_
_atom_site_label
_atom_site_type_symbol
_atom_site_fract_x
_atom_site_fract_y
_atom_site_fract_z
Ta1 Ta 0.173 0.250 0.078
Nb1 Nb 0.017 0.250 0.740
W1 W 0.172 0.250 0.419

---

Which structure is the least stable? The one labeled i.

---

i | # TbY2Nb2 (PBE, optimized geometry)
# * crystal system: tetragonal
data_TbY2Nb2
_cell_length_a 4.500
_cell_length_b 4.500
_cell_length_c 13.434
_cell_angle_alpha 90.00
_cell_angle_beta 90.00
_cell_angle_gamma 90.00
_space_group_name_H-M_alt 'I 4/m m m'
_space_group_IT_number 139
_space_group_name_Hall '-I 4 2'
loop_
_atom_site_label
_atom_site_type_symbol
_atom_site_fract_x
_atom_site_fract_y
_atom_site_fract_z
Tb1 Tb 0.000 0.000 0.000
Y1 Y 0.000 0.500 0.250
Nb1 Nb 0.000 0.000 0.412

---

ii | # TbY2Nb2 (PBE, optimized geometry)
# * crystal system: tetragonal
data_TbY2Nb2
_cell_length_a 4.223
_cell_length_b 4.223
_cell_length_c 14.141
_cell_angle_alpha 90.00
_cell_angle_beta 90.00
_cell_angle_gamma 90.00
_space_group_name_H-M_alt 'I 4/m m m'
_space_group_IT_number 139
_space_group_name_Hall '-I 4 2'
loop_
_atom_site_label
_atom_site_type_symbol
_atom_site_fract_x
_atom_site_fract_y
_atom_site_fract_z
Tb1 Tb 0.000 0.000 0.000
Y1 Y 0.000 0.000 0.398
Nb1 Nb 0.000 0.500 0.250

---

Which structure is the least stable? The one labeled ii.

---

i | # NbZnTc (PBE, optimized geometry)
# * crystal system: cubic
data_NbZnTc
_cell_length_a 6.073
_cell_length_b 6.073
_cell_length_c 6.073
_cell_angle_alpha 90.00
_cell_angle_beta 90.00
_cell_angle_gamma 90.00
_space_group_name_H-M_alt 'F -4 3 m'
_space_group_IT_number 216
_space_group_name_Hall 'F -4 2 3'
loop_
_atom_site_label
_atom_site_type_symbol
_atom_site_fract_x
_atom_site_fract_y
_atom_site_fract_z
Nb1 Nb 0.000 0.000 0.000
Zn1 Zn 0.000 0.000 0.500
Tc1 Tc 0.250 0.250 0.750

---

ii | # NbZnTc (PBE, optimized geometry)
# * crystal system: cubic
data_NbZnTc
_cell_length_a 6.105
_cell_length_b 6.105
_cell_length_c 6.105
_cell_angle_alpha 90.00
_cell_angle_beta 90.00
_cell_angle_gamma 90.00
_space_group_name_H-M_alt 'F -4 3 m'
_space_group_IT_number 216
_space_group_name_Hall 'F -4 2 3'
loop_
_atom_site_label
_atom_site_type_symbol
_atom_site_fract_x
_atom_site_fract_y
_atom_site_fract_z
Nb1 Nb 0.000 0.000 0.000
Zn1 Zn 0.250 0.250 0.250
Tc1 Tc 0.250 0.250 0.750

---

Which structure is the least stable? The one labeled ii.

---

i | # NbTlTe (PBE, optimized geometry)
# * crystal system: cubic
data_NbTlTe
_cell_length_a 6.819
_cell_length_b 6.819
_cell_length_c 6.819
_cell_angle_alpha 90.00
_cell_angle_beta 90.00
_cell_angle_gamma 90.00
_space_group_name_H-M_alt 'F -4 3 m'
_space_group_IT_number 216
_space_group_name_Hall 'F -4 2 3'
loop_
_atom_site_label
_atom_site_type_symbol
_atom_site_fract_x
_atom_site_fract_y
_atom_site_fract_z
Nb1 Nb 0.000 0.000 0.000
Tl1 Tl 0.250 0.250 0.250
Te1 Te 0.250 0.250 0.750

---

ii | # NbTlTe (PBE, optimized geometry)
# * crystal system: cubic
data_NbTlTe
_cell_length_a 6.890
_cell_length_b 6.890
_cell_length_c 6.890
_cell_angle_alpha 90.00
_cell_angle_beta 90.00
_cell_angle_gamma 90.00
_space_group_name_H-M_alt 'F -4 3 m'
_space_group_IT_number 216
_space_group_name_Hall 'F -4 2 3'
loop_
_atom_site_label
_atom_site_type_symbol
_atom_site_fract_x
_atom_site_fract_y
_atom_site_fract_z
Nb1 Nb 0.000 0.000 0.000
Tl1 Tl 0.000 0.000 0.500
Te1 Te 0.250 0.250 0.250

---

Which structure is the least stable? The one labeled ii.

---

i | # YNbTe (PBE, optimized geometry)
# * crystal system: cubic
data_YNbTe
_cell_length_a 6.781
_cell_length_b 6.781
_cell_length_c 6.781
_cell_angle_alpha 90.00
_cell_angle_beta 90.00
_cell_angle_gamma 90.00
_space_group_name_H-M_alt 'F -4 3 m'
_space_group_IT_number 216
_space_group_name_Hall 'F -4 2 3'
loop_
_atom_site_label
_atom_site_type_symbol
_atom_site_fract_x
_atom_site_fract_y
_atom_site_fract_z
Y1 Y 0.000 0.000 0.000
Nb1 Nb 0.000 0.000 0.500
Te1 Te 0.250 0.250 0.750

---

ii | # YNbTe (PBE, optimized geometry)
# * crystal system: cubic
data_YNbTe
_cell_length_a 7.121
_cell_length_b 7.121
_cell_length_c 7.121
_cell_angle_alpha 90.00
_cell_angle_beta 90.00
_cell_angle_gamma 90.00
_space_group_name_H-M_alt 'F -4 3 m'
_space_group_IT_number 216
_space_group_name_Hall 'F -4 2 3'
loop_
_atom_site_label
_atom_site_type_symbol
_atom_site_fract_x
_atom_site_fract_y
_atom_site_fract_z
Y1 Y 0.000 0.000 0.000
Nb1 Nb 0.250 0.250 0.750
Te1 Te 0.250 0.250 0.250

---

Which structure is the least stable? The one labeled ii.